The following is a GGA-PBE calculation of a relaxed structure of DyHo2Ge3PdPt2, from OQMD.

Results
Space-group type   Amm2 (38)
E   -6.01 eV per atom

abc: 3.899 7.229 7.229
angles: 120.08 90.00 90.00
Sites, in units of the cell vectors:
Dy (0.000, 0.000, 0.000)
Ho (0.000, 0.188, 0.594)
Ho (0.000, 0.594, 0.188)
Ge (0.500, 0.338, 0.338)
Ge (0.500, 0.594, 0.850)
Ge (0.500, 0.850, 0.594)
Pd (0.000, 0.593, 0.593)
Pt (0.500, 0.262, 0.927)
Pt (0.500, 0.927, 0.262)